<P>
Material: VGeSb2I
Method: DFT, GGA-PBE
State: optimized geometry

Its total magnetization is 0.01 μB per cell. For the volume, the calculation gives 156 Å³ per cell.

abc: 5.3247 5.3247 5.4969
angles: 90.00 90.00 90.00
Last column: nearest neighbours and their distance in Å.
Element x y z (fractional)
Ge  0.0000  0.0000  0.0000  4 Sb 2.66, 2 I 2.75
Sb  0.5000  0.0000  0.0000  2 Ge 2.66
Sb  0.0000  0.5000  0.0000  2 Ge 2.66
I  0.0000  0.0000  0.5000  2 Ge 2.75
V  0.5000  0.5000  0.5000  4 I 3.77, 8 Sb 3.83



<Q>
Material: VGeSb2I
Method: DFT, GGA-PBE
State: optimized geometry

Its total magnetization is 1.65 μB per cell. For the volume, the calculation gives 149 Å³ per cell.

abc: 5.0735 5.0735 5.7987
angles: 90.00 90.00 90.00
Last column: nearest neighbours and their distance in Å.
Element x y z (fractional)
Ge  0.5000  0.5000  0.5000  4 I 3.59, 8 Sb 3.85
V  0.0000  0.0000  0.0000  4 Sb 2.54
Sb  0.0000  0.5000  0.0000  2 V 2.54
Sb  0.5000  0.0000  0.0000  2 V 2.54
I  0.0000  0.0000  0.5000  2 V 2.90



Of them, <P> has the lowest stability.



<P>
Material: VGeSbI2
Method: DFT, GGA-PBE
State: optimized geometry

Its total magnetization is 2.75 μB per cell. For the volume, the calculation gives 174 Å³ per cell.

abc: 5.6050 5.6050 5.5453
angles: 90.00 90.00 90.00
Last column: nearest neighbours and their distance in Å.
Element x y z (fractional)
Sb  0.0000  0.0000  0.5000  2 Ge 2.77
I  0.5000  0.0000  0.0000  2 Ge 2.80
I  0.0000  0.5000  0.0000  2 Ge 2.80
Ge  0.0000  0.0000  0.0000  2 Sb 2.77, 4 I 2.80
V  0.5000  0.5000  0.5000  8 I 3.94, 4 Sb 3.96



<Q>
Material: VGeSbI2
Method: DFT, GGA-PBE
State: optimized geometry

Its total magnetization is 2.59 μB per cell. For the volume, the calculation gives 156 Å³ per cell.

abc: 5.3816 5.3816 5.4017
angles: 90.00 90.00 90.00
Last column: nearest neighbours and their distance in Å.
Element x y z (fractional)
I  0.0000  0.5000  0.0000  2 V 2.69
I  0.5000  0.0000  0.0000  2 V 2.69
Ge  0.5000  0.5000  0.5000  4 Sb 3.81, 8 I 3.81
V  0.0000  0.0000  0.0000  4 I 2.69, 2 Sb 2.70
Sb  0.0000  0.0000  0.5000  2 V 2.70



Of them, <P> has the lowest stability.



<P>
Material: GeSb2WI
Method: DFT, GGA-PBE
State: optimized geometry

Its total magnetization is 3.30 μB per cell. For the volume, the calculation gives 152 Å³ per cell.

abc: 5.3131 5.3131 5.4005
angles: 90.00 90.00 90.00
Last column: nearest neighbours and their distance in Å.
Element x y z (fractional)
Sb  0.5000  0.0000  0.0000  2 Ge 2.66
Sb  0.0000  0.5000  0.0000  2 Ge 2.66
Ge  0.0000  0.0000  0.0000  4 Sb 2.66, 2 I 2.70
I  0.0000  0.0000  0.5000  2 Ge 2.70
W  0.5000  0.5000  0.5000  4 I 3.76, 8 Sb 3.79



<Q>
Material: GeSb2WI
Method: DFT, GGA-PBE
State: optimized geometry

Its total magnetization is 1.51 μB per cell. For the volume, the calculation gives 157 Å³ per cell.

abc: 5.1880 5.1880 5.8442
angles: 90.00 90.00 90.00
Last column: nearest neighbours and their distance in Å.
Element x y z (fractional)
W  0.0000  0.0000  0.0000  4 Sb 2.59
Sb  0.0000  0.5000  0.0000  2 W 2.59
Sb  0.5000  0.0000  0.0000  2 W 2.59
I  0.0000  0.0000  0.5000  2 W 2.92
Ge  0.5000  0.5000  0.5000  4 I 3.67, 8 Sb 3.91



Of them, <P> has the lowest stability.



<P>
Material: ScGe2I2
Method: DFT, GGA-PBE
State: optimized geometry

Its total magnetization is 0.00 μB per cell. For the volume, the calculation gives 164 Å³ per cell.

abc: 3.6552 3.6552 12.5325
angles: 81.61 81.61 90.00
Last column: nearest neighbours and their distance in Å.
Element x y z (fractional)
Ge  0.2500  0.7500  0.5000  4 Ge 2.58
Ge  0.7500  0.2500  0.5000  4 Ge 2.58
Sc  0.0000  0.0000  0.0000  8 I 3.14
I  0.4270  0.4270  0.1460  4 Sc 3.14
I  0.5730  0.5730  0.8540  4 Sc 3.14



<Q>
Material: ScGe2I2
Method: DFT, GGA-PBE
State: optimized geometry

Its total magnetization is 0.00 μB per cell. For the volume, the calculation gives 288 Å³ per cell.

abc: 7.6812 7.6812 4.8786
angles: 90.00 90.00 90.00
Last column: nearest neighbours and their distance in Å.
Element x y z (fractional)
Ge  0.6269  0.8731  0.5000  1 Ge 2.76
Ge  0.3731  0.1269  0.5000  1 Ge 2.76
Ge  0.8731  0.3731  0.5000  1 Ge 2.76
Ge  0.1269  0.6269  0.5000  1 Ge 2.76
I  0.8290  0.6710  0.0000  2 Sc 2.85
I  0.3290  0.8290  0.0000  2 Sc 2.85
I  0.1710  0.3290  0.0000  2 Sc 2.85
I  0.6710  0.1710  0.0000  2 Sc 2.85
Sc  0.0000  0.0000  0.0000  4 I 2.85
Sc  0.5000  0.5000  0.0000  4 I 2.85



Of them, <Q> has the lowest stability.



<P>
Material: ScGeI3
Method: DFT, GGA-PBE
State: optimized geometry

Its total magnetization is 2.00 μB per cell. For the volume, the calculation gives 190 Å³ per cell.

abc: 5.7478 5.7478 5.7478
angles: 90.00 90.00 90.00
Last column: nearest neighbours and their distance in Å.
Element x y z (fractional)
Ge  0.5000  0.5000  0.5000  12 I 4.06
Sc  0.0000  0.0000  0.0000  6 I 2.87
I  0.0000  0.0000  0.5000  2 Sc 2.87
I  0.0000  0.5000  0.0000  2 Sc 2.87
I  0.5000  0.0000  0.0000  2 Sc 2.87



<Q>
Material: ScGeI3
Method: DFT, GGA-PBE
State: optimized geometry

Its total magnetization is 1.95 μB per cell. For the volume, the calculation gives 191 Å³ per cell.

abc: 5.7612 5.7612 5.7612
angles: 90.00 90.00 90.00
Last column: nearest neighbours and their distance in Å.
Element x y z (fractional)
Ge  0.0000  0.0000  0.0000  6 I 2.88
I  0.0000  0.0000  0.5000  2 Ge 2.88
I  0.0000  0.5000  0.0000  2 Ge 2.88
I  0.5000  0.0000  0.0000  2 Ge 2.88
Sc  0.5000  0.5000  0.5000  12 I 4.07



Of them, <Q> has the lowest stability.



<P>
Material: GeSe2I
Method: DFT, GGA-PBE
State: optimized geometry

Its total magnetization is 0.00 μB per cell. For the volume, the calculation gives 118 Å³ per cell.

abc: 8.6848 8.6848 8.6848
angles: 26.92 26.92 26.92
Last column: nearest neighbours and their distance in Å.
Element x y z (fractional)
Se  0.8905  0.8905  0.8905  3 Ge 2.74, 1 I 2.75
Se  0.1095  0.1095  0.1095  3 Ge 2.74, 1 I 2.75
Ge  0.5000  0.5000  0.5000  6 Se 2.74
I  0.0000  0.0000  0.0000  2 Se 2.75



<Q>
Material: GeSe2I
Method: DFT, GGA-PBE
State: optimized geometry

Its total magnetization is 0.00 μB per cell. For the volume, the calculation gives 242 Å³ per cell.

abc: 7.4406 7.4406 6.8365
angles: 57.03 57.03 90.00
Last column: nearest neighbours and their distance in Å.
Element x y z (fractional)
Se  0.8750  0.7942  0.7500  2 Ge 2.50
Se  0.2058  0.6250  0.2500  2 Ge 2.50
Se  0.5442  0.1250  0.2500  2 Ge 2.50
Se  0.3750  0.4558  0.7500  2 Ge 2.50
Ge  0.5000  0.5000  0.0000  4 Se 2.50
Ge  0.2500  0.7500  0.5000  4 Se 2.50
I  0.0000  0.0000  0.0000  4 Se 3.27
I  0.7500  0.2500  0.5000  4 Se 3.27



<R>
Material: GeSe2I
Method: DFT, GGA-PBE
State: optimized geometry

Its total magnetization is 0.00 μB per cell. For the volume, the calculation gives 95 Å³ per cell.

abc: 5.1248 5.1248 5.1248
angles: 60.00 60.00 60.00
Last column: nearest neighbours and their distance in Å.
Element x y z (fractional)
Se  0.7500  0.7500  0.7500  4 I 3.14, 4 Ge 3.14
Se  0.2500  0.2500  0.2500  4 I 3.14, 4 Ge 3.14
Ge  0.0000  0.0000  0.0000  8 Se 3.14
I  0.5000  0.5000  0.5000  8 Se 3.14



Of them, <R> has the lowest stability.



<P>
Material: Ge2SeI2
Method: DFT, GGA-PBE
State: optimized geometry

Its total magnetization is 0.00 μB per cell. For the volume, the calculation gives 169 Å³ per cell.

abc: 4.1529 4.1521 11.5401
angles: 80.91 79.63 59.99
Last column: nearest neighbours and their distance in Å.
Element x y z (fractional)
I  0.4456  0.9091  0.1998  3 Ge 3.01-3.02
I  0.5544  0.0909  0.8002  3 Ge 3.01-3.02
Ge  0.2813  0.7987  0.6386  3 Se 2.86-2.87, 3 I 3.01-3.02
Ge  0.7187  0.2013  0.3614  3 Se 2.86-2.87, 3 I 3.01-3.02
Se  0.0000  0.5000  0.5000  6 Ge 2.86-2.87



<Q>
Material: Ge2SeI2
Method: DFT, GGA-PBE
State: optimized geometry

Its total magnetization is 0.00 μB per cell. For the volume, the calculation gives 330 Å³ per cell.

abc: 7.4904 7.2955 7.0429
angles: 90.15 90.00 120.89
Last column: nearest neighbours and their distance in Å.
Element x y z (fractional)
I  0.4921  0.3259  0.2482  4 Ge 3.03-3.28
I  0.5079  0.6741  0.7518  4 Ge 3.03-3.28
I  0.1662  0.6741  0.2518  4 Ge 3.03-3.28
I  0.8338  0.3259  0.7482  4 Ge 3.03-3.28
Se  0.8585  0.0000  0.2500  4 Ge 2.71
Se  0.1415  0.0000  0.7500  4 Ge 2.71
Ge  0.8583  0.7170  0.9994  2 Se 2.71, 1 I 3.03
Ge  0.1413  0.2830  0.5006  2 Se 2.71, 1 I 3.03
Ge  0.1417  0.2830  0.0006  2 Se 2.71, 1 I 3.03
Ge  0.8587  0.7170  0.4994  2 Se 2.71, 1 I 3.03



Of them, <Q> has the lowest stability.



<P>
Material: GeSeI
Method: DFT, GGA-PBE
State: optimized geometry

Its total magnetization is 0.00 μB per cell. For the volume, the calculation gives 218 Å³ per cell.

abc: 4.7984 4.9214 10.6814
angles: 59.82 90.02 90.01
Last column: nearest neighbours and their distance in Å.
Element x y z (fractional)
Se  0.4496  0.7213  0.0141  3 Ge 2.50-2.60
Se  0.9495  0.4544  0.8104  3 Ge 2.50-2.60
I  0.9501  0.9323  0.2560  1 Ge 2.61
I  0.4500  0.2433  0.5686  1 Ge 2.61
Ge  0.4494  0.6757  0.7918  3 Se 2.50-2.60, 1 I 2.61
Ge  0.9496  0.4998  0.0328  3 Se 2.50-2.60, 1 I 2.61



<Q>
Material: GeSeI
Method: DFT, GGA-PBE
State: optimized geometry

Its total magnetization is 0.00 μB per cell. For the volume, the calculation gives 92 Å³ per cell.

abc: 7.1731 3.8556 3.8556
angles: 120.00 90.00 90.00
Last column: nearest neighbours and their distance in Å.
Element x y z (fractional)
Se  0.2219  0.3333  0.6667  3 Ge 2.62
Ge  0.0295  0.0000  0.0000  3 Se 2.62
I  0.7486  0.6667  0.3333  3 Ge 3.00



Of them, <Q> has the lowest stability.



<P>
Material: GeTe2SeI
Method: DFT, GGA-PBE
State: optimized geometry

Its total magnetization is 0.00 μB per cell. For the volume, the calculation gives 164 Å³ per cell.

abc: 5.5117 5.5117 5.3889
angles: 90.00 90.00 90.00
Last column: nearest neighbours and their distance in Å.
Element x y z (fractional)
Te  0.5000  0.0000  0.0000  2 Ge 2.76
Te  0.0000  0.5000  0.0000  2 Ge 2.76
Se  0.5000  0.5000  0.5000  8 Te 3.85, 4 I 3.90
I  0.0000  0.0000  0.5000  2 Ge 2.69
Ge  0.0000  0.0000  0.0000  2 I 2.69, 4 Te 2.76



<Q>
Material: GeTe2SeI
Method: DFT, GGA-PBE
State: optimized geometry

Its total magnetization is 0.00 μB per cell. For the volume, the calculation gives 171 Å³ per cell.

abc: 5.4851 5.4851 5.6680
angles: 90.00 90.00 90.00
Last column: nearest neighbours and their distance in Å.
Element x y z (fractional)
Te  0.5000  0.0000  0.0000  2 Se 2.74
Te  0.0000  0.5000  0.0000  2 Se 2.74
Ge  0.5000  0.5000  0.5000  4 I 3.88, 8 Te 3.94
I  0.0000  0.0000  0.5000  2 Se 2.83
Se  0.0000  0.0000  0.0000  4 Te 2.74, 2 I 2.83



Of them, <P> has the lowest stability.



<P>
Material: SiGeI3
Method: DFT, GGA-PBE
State: optimized geometry

Its total magnetization is 1.00 μB per cell. For the volume, the calculation gives 190 Å³ per cell.

abc: 5.7521 5.7521 5.7521
angles: 90.00 90.00 90.00
Last column: nearest neighbours and their distance in Å.
Element x y z (fractional)
I  0.5000  0.0000  0.0000  2 Ge 2.88
I  0.0000  0.5000  0.0000  2 Ge 2.88
I  0.0000  0.0000  0.5000  2 Ge 2.88
Si  0.5000  0.5000  0.5000  12 I 4.07
Ge  0.0000  0.0000  0.0000  6 I 2.88



<Q>
Material: SiGeI3
Method: DFT, GGA-PBE
State: optimized geometry

Its total magnetization is 1.00 μB per cell. For the volume, the calculation gives 176 Å³ per cell.

abc: 5.6060 5.6060 5.6060
angles: 90.00 90.00 90.00
Last column: nearest neighbours and their distance in Å.
Element x y z (fractional)
I  0.0000  0.5000  0.0000  2 Si 2.80
I  0.5000  0.0000  0.0000  2 Si 2.80
I  0.0000  0.0000  0.5000  2 Si 2.80
Ge  0.5000  0.5000  0.5000  12 I 3.96
Si  0.0000  0.0000  0.0000  6 I 2.80



Of them, <P> has the lowest stability.



<P>
Material: Si2Ge2I
Method: DFT, GGA-PBE
State: optimized geometry

Its total magnetization is 0.00 μB per cell. For the volume, the calculation gives 114 Å³ per cell.

abc: 3.7409 3.7409 8.5439
angles: 77.35 77.35 90.00
Last column: nearest neighbours and their distance in Å.
Element x y z (fractional)
Si  0.2500  0.7500  0.5000  4 Si 2.65, 4 Ge 2.70
Si  0.7500  0.2500  0.5000  4 Si 2.65, 4 Ge 2.70
Ge  0.3698  0.3698  0.2605  4 Si 2.70
Ge  0.6302  0.6302  0.7395  4 Si 2.70
I  0.0000  0.0000  0.0000  8 Ge 3.39, 4 I 3.74



<Q>
Material: Si2Ge2I
Method: DFT, GGA-PBE
State: optimized geometry

Its total magnetization is 0.00 μB per cell. For the volume, the calculation gives 105 Å³ per cell.

abc: 4.7176 4.7176 5.7961
angles: 65.99 65.99 90.00
Last column: nearest neighbours and their distance in Å.
Element x y z (fractional)
Si  0.3708  0.3708  0.2584  1 Si 2.45, 4 Ge 2.62
Si  0.6292  0.6292  0.7416  1 Si 2.45, 4 Ge 2.62
Ge  0.2500  0.7500  0.5000  4 Si 2.62
Ge  0.7500  0.2500  0.5000  4 Si 2.62
I  0.0000  0.0000  0.0000  8 Ge 3.34, 10 Si 3.51-3.55



Of them, <P> has the lowest stability.



<P>
Material: Si2GeI
Method: DFT, GGA-PBE
State: optimized geometry

Its total magnetization is 0.00 μB per cell. For the volume, the calculation gives 84 Å³ per cell.

abc: 4.9214 4.9214 4.9214
angles: 60.00 60.00 60.00
Last column: nearest neighbours and their distance in Å.
Element x y z (fractional)
I  0.5000  0.5000  0.5000  8 Si 3.01
Si  0.2500  0.2500  0.2500  4 I 3.01, 4 Ge 3.01
Si  0.7500  0.7500  0.7500  4 Ge 3.01, 4 I 3.01
Ge  0.0000  0.0000  0.0000  8 Si 3.01



<Q>
Material: Si2GeI
Method: DFT, GGA-PBE
State: optimized geometry

Its total magnetization is 0.00 μB per cell. For the volume, the calculation gives 211 Å³ per cell.

abc: 6.8863 6.8863 6.6004
angles: 58.56 58.56 90.00
Last column: nearest neighbours and their distance in Å.
Element x y z (fractional)
Si  0.8750  0.8167  0.7500  2 Ge 2.44
Si  0.1833  0.6250  0.2500  2 Ge 2.44
Si  0.3750  0.4333  0.7500  2 Ge 2.44
Si  0.5667  0.1250  0.2500  2 Ge 2.44
Ge  0.5000  0.5000  0.0000  4 Si 2.44
Ge  0.2500  0.7500  0.5000  4 Si 2.44
I  0.7500  0.2500  0.5000  4 Si 2.95
I  0.0000  0.0000  0.0000  4 Si 2.95



Of them, <P> has the lowest stability.



<P>
Material: SiGe2I
Method: DFT, GGA-PBE
State: optimized geometry

Its total magnetization is 0.00 μB per cell. For the volume, the calculation gives 226 Å³ per cell.

abc: 7.0134 7.0134 6.7637
angles: 58.77 58.77 90.00
Last column: nearest neighbours and their distance in Å.
Element x y z (fractional)
Si  0.5000  0.5000  0.0000  4 Ge 2.46
Si  0.2500  0.7500  0.5000  4 Ge 2.46
Ge  0.1924  0.6250  0.2500  2 Si 2.46
Ge  0.8750  0.8076  0.7500  2 Si 2.46
Ge  0.5576  0.1250  0.2500  2 Si 2.46
Ge  0.3750  0.4424  0.7500  2 Si 2.46
I  0.0000  0.0000  0.0000  4 Ge 3.06
I  0.7500  0.2500  0.5000  4 Ge 3.06



<Q>
Material: SiGe2I
Method: DFT, GGA-PBE
State: optimized geometry

Its total magnetization is 0.00 μB per cell. For the volume, the calculation gives 90 Å³ per cell.

abc: 5.0286 5.0286 5.0286
angles: 60.00 60.00 60.00
Last column: nearest neighbours and their distance in Å.
Element x y z (fractional)
I  0.5000  0.5000  0.5000  8 Ge 3.08
Ge  0.2500  0.2500  0.2500  4 I 3.08, 4 Si 3.08
Ge  0.7500  0.7500  0.7500  4 Si 3.08, 4 I 3.08
Si  0.0000  0.0000  0.0000  8 Ge 3.08



Of them, <Q> has the lowest stability.